# 1
Entry from Alexandria: crystalline CoS2IN at its relaxed geometry (PBE-GGA).

Cell lengths 4.843, 4.843, 3.464 Å; angles 90.00, 90.00, 90.00 degrees
Fractional coordinates of all 5 atoms:
Co 0.000 0.000 0.000
S 0.000 0.500 0.000
S 0.500 0.000 0.000
I 0.500 0.500 0.500
N 0.000 0.000 0.500

Properties
Symmetry: P4/mmm, No. 123
Polymorph energy (0 for the lowest one): 0.0000 eV per atom


# 2
Entry from Alexandria: crystalline CoSbI2N at its relaxed geometry (PBE-GGA).

Cell lengths 5.153, 5.153, 4.811 Å; angles 90.00, 90.00, 90.00 degrees
Fractional coordinates of all 5 atoms:
Co 0.000 0.000 0.000
Sb 0.000 0.000 0.500
I 0.000 0.500 0.000
I 0.500 0.000 0.000
N 0.500 0.500 0.500

Properties
Symmetry: P4/mmm, No. 123
Polymorph energy (0 for the lowest one): 0.9981 eV per atom


# 3
Entry from Alexandria: crystalline CoSbI2N at its relaxed geometry (PBE-GGA).

Cell lengths 5.603, 5.603, 3.526 Å; angles 90.00, 90.00, 90.00 degrees
Fractional coordinates of all 5 atoms:
Co 0.000 0.000 0.000
Sb 0.500 0.500 0.500
I 0.000 0.500 0.000
I 0.500 0.000 0.000
N 0.000 0.000 0.500

Properties
Symmetry: P4/mmm, No. 123
Polymorph energy (0 for the lowest one): 0.0000 eV per atom


# 4
Entry from Alexandria: crystalline CoSbI2N at its relaxed geometry (PBE-GGA).

Cell lengths 6.142, 6.142, 3.957 Å; angles 90.00, 90.00, 90.00 degrees
Fractional coordinates of all 5 atoms:
Co 0.000 0.000 0.000
Sb 0.500 0.500 0.500
I 0.000 0.500 0.500
I 0.500 0.000 0.500
N 0.500 0.500 0.000

Properties
Symmetry: P4/mmm, No. 123
Polymorph energy (0 for the lowest one): 0.6380 eV per atom


# 5
Entry from Alexandria: crystalline CoSbI2N at its relaxed geometry (PBE-GGA).

Cell lengths 4.835, 4.835, 4.869 Å; angles 90.00, 90.00, 90.00 degrees
Fractional coordinates of all 5 atoms:
Co 0.000 0.000 0.000
Sb 0.500 0.500 0.000
I 0.000 0.500 0.500
I 0.500 0.000 0.500
N 0.500 0.500 0.500

Properties
Symmetry: P4/mmm, No. 123
Polymorph energy (0 for the lowest one): 0.8130 eV per atom


# 6
Entry from Alexandria: crystalline Co2SbIN at its relaxed geometry (PBE-GGA).

Cell lengths 4.163, 4.163, 4.981 Å; angles 90.00, 90.00, 90.00 degrees
Fractional coordinates of all 5 atoms:
Co 0.000 0.500 0.000
Co 0.500 0.000 0.000
Sb 0.000 0.000 0.500
I 0.500 0.500 0.500
N 0.000 0.000 0.000

Properties
Symmetry: P4/mmm, No. 123


Number 1: uncorrected energy -21.87 eV per cell, formation energy (no corrections) 674.1 meV/atom, DOS at the Fermi energy 2.4 states/eV/f.u.. Number 2: uncorrected energy -14.99 eV per cell, formation energy (no corrections) 1533.0 meV/atom, DOS at the Fermi energy 8.7 states/eV/f.u.. Number 3: uncorrected energy -19.98 eV per cell, formation energy (no corrections) 534.9 meV/atom, DOS at the Fermi energy 4.3 states/eV/f.u.. Number 4: uncorrected energy -16.79 eV per cell, formation energy (no corrections) 1172.8 meV/atom, DOS at the Fermi energy 6.6 states/eV/f.u.. Number 5: uncorrected energy -15.91 eV per cell, formation energy (no corrections) 1347.9 meV/atom, DOS at the Fermi energy 6.3 states/eV/f.u.. Number 6: uncorrected energy -23.74 eV per cell, formation energy (no corrections) 894.6 meV/atom, DOS at the Fermi energy 7.6 states/eV/f.u..